[1]
{
  "formula": "LaTl2W",
  "functional": "PBE-GGA",
  "state": "optimized geometry",
  "lattice": [[-2.6457, 6.9218, -1.2876], [-6.8131, 2.8308, -1.4622], [5.1700, -3.7048, 4.0144]],
  "species": ["Tl", "W", "La", "Tl"],
  "fractional_positions": [[0.6827, 0.1827, 0.5000], [0.5045, 0.5045, 0.0000], [0.3131, 0.8131, 0.5000], [0.9997, 0.9997, 0.0000]],
  "dos_ef_per_ev_atom": 0.546,
  "energy_ev_per_fu": -20.60,
  "volume_a3_per_cell": 107.6
}



[2]
{
  "formula": "LaTl2W",
  "functional": "PBE-GGA",
  "state": "optimized geometry",
  "lattice": [[3.2384, 0.0000, 0.0000], [0.0000, 3.8688, 0.0000], [0.0000, 0.0000, 8.3223]],
  "species": ["W", "Tl", "Tl", "La"],
  "fractional_positions": [[0.0000, 0.0000, 0.4768], [0.0000, 0.0000, 0.0232], [0.5000, 0.5000, 0.2890], [0.5000, 0.5000, 0.7111]],
  "dos_ef_per_ev_atom": 1.052,
  "energy_ev_per_fu": -20.30,
  "volume_a3_per_cell": 104.3
}